The following is a PBE calculation of an optimized crystal structure of PmErAu, from Alexandria.

Calculated values
SG: No. 12
total DFT energy (no corrections): -4.6180 eV/atom
relative energy among the computed polymorphs: 0.105 eV/atom
DOS at the Fermi energy: 7.63 states/eV per cell
DFT formation energy: -0.421 eV/atom

Unit cell a=5.003 b=5.003 c=7.122 alpha=89.92 beta=89.92 gamma=90.00
Fractional positions:
1 Er 0.750 0.250 0.500
2 Pm 0.750 0.250 0.000
3 Au 0.250 0.250 0.266
4 Pm 0.250 0.750 0.000
5 Er 0.250 0.750 0.500
6 Au 0.750 0.750 0.734


The following is a PBE calculation of an optimized crystal structure of Pm2Dy, from Alexandria.

Calculated values
SG: No. 227
total DFT energy (no corrections): -4.4391 eV/atom
relative energy among the computed polymorphs: 0.244 eV/atom
DOS at the Fermi energy: 9.84 states/eV per cell
DFT formation energy: 0.262 eV/atom

Unit cell a=6.650 b=6.650 c=6.650 alpha=60.00 beta=60.00 gamma=60.00
Fractional positions:
1 Dy 0.250 0.250 0.250
2 Pm 0.625 0.125 0.625
3 Dy 0.000 0.000 0.000
4 Pm 0.125 0.625 0.625
5 Pm 0.625 0.625 0.125
6 Pm 0.625 0.625 0.625


The following is a PBE calculation of an optimized crystal structure of Sm6MgTc2, from Alexandria.

Calculated values
SG: No. 71
total DFT energy (no corrections): -5.6370 eV/atom
DOS at the Fermi energy: 20.28 states/eV per cell
DFT formation energy: -0.010 eV/atom

Unit cell a=8.736 b=8.736 c=8.736 alpha=105.68 beta=111.30 gamma=111.49
Fractional positions:
1 Tc 0.377 0.000 0.377
2 Tc 0.500 0.387 0.887
3 Sm 0.215 0.231 0.446
4 Tc 0.500 0.613 0.113
5 Sm 0.705 0.017 0.311
6 Sm 0.705 0.394 0.689
7 Mg 0.000 0.000 0.000
8 Sm 0.785 0.769 0.554
9 Sm 0.524 0.715 0.809
10 Sm 0.295 0.606 0.311
11 Mg 0.000 0.500 0.500
12 Sm 0.094 0.285 0.809
13 Sm 0.215 0.769 0.984
14 Sm 0.476 0.285 0.191
15 Sm 0.295 0.983 0.689
16 Tc 0.623 0.000 0.623
17 Sm 0.906 0.715 0.191
18 Sm 0.785 0.231 0.016


The following is a PBE calculation of an optimized crystal structure of HfTi2Au2, from Alexandria.

Calculated values
SG: No. 127
total DFT energy (no corrections): -6.7221 eV/atom
relative energy among the computed polymorphs: 0.000 eV/atom
DOS at the Fermi energy: 14.77 states/eV per cell
DFT formation energy: -0.263 eV/atom

Unit cell a=7.547 b=7.547 c=3.266 alpha=90.00 beta=90.00 gamma=90.00
Fractional positions:
1 Au 0.130 0.370 0.000
2 Au 0.630 0.130 0.000
3 Au 0.870 0.630 0.000
4 Ti 0.830 0.330 0.500
5 Ti 0.670 0.830 0.500
6 Hf 0.000 0.000 0.000
7 Au 0.370 0.870 0.000
8 Ti 0.330 0.170 0.500
9 Ti 0.170 0.670 0.500
10 Hf 0.500 0.500 0.000


What are the total magnetic moment values for these records? In order: 0.040; 0.000; 0.000; 0.003 μB/f.u..
What are the mass density values for these records? In order: 9.49; 7.23; 7.29; 11.93 g/cm³.